Record 1
The following is a GGA-PBE calculation of a geometry-optimized TaSiIr structure, from OQMD.

abc: 6.3946 6.3946 3.8187
angles: 90.00 90.00 120.00
With the nearest neighbours (Å) after each atom.
Positions (direct):
Ta: 0.0000 0.5852 0.0000  5 Si 2.65-2.71, 2 Ir 2.84
Ta: 0.4148 0.4148 0.0000  5 Si 2.65-2.71, 2 Ir 2.84
Ta: 0.5852 0.0000 0.0000  5 Si 2.65-2.71, 2 Ir 2.84
Si: 0.0000 0.0000 0.0000  6 Ir 2.52, 3 Ta 2.65
Si: 0.3333 0.6667 0.5000  3 Ir 2.41
Si: 0.6667 0.3333 0.5000  3 Ir 2.41
Ir: 0.0000 0.2569 0.5000  4 Si 2.41-2.52
Ir: 0.2569 0.0000 0.5000  4 Si 2.41-2.52
Ir: 0.7431 0.7431 0.5000  4 Si 2.41-2.52

Results
**Total DFT energy (no corrections)**: -9.423 eV/atom
**Symmetry**: No. 189



Record 2
The following is a GGA-PBE calculation of a geometry-optimized CsZnBiTe3 structure, from OQMD.

abc: 8.7713 8.7713 11.9202
angles: 90.00 90.00 150.05
With the nearest neighbours (Å) after each atom.
Positions (direct):
Cs: 0.2436 0.7564 0.7500  8 Te 3.91-4.18, 2 Zn 4.27
Cs: 0.7564 0.2436 0.2500  8 Te 3.91-4.18, 2 Zn 4.27
Zn: 0.0428 0.9572 0.2500  4 Te 2.69-2.81
Zn: 0.9572 0.0428 0.7500  4 Te 2.69-2.81
Bi: 0.5000 0.5000 0.0000  6 Te 3.13-3.16
Bi: 0.5000 0.5000 0.5000  6 Te 3.13-3.16
Te: 0.1241 0.8759 0.0564  1 Zn 2.69
Te: 0.1241 0.8759 0.4436  1 Zn 2.69
Te: 0.4443 0.5557 0.2500  2 Zn 2.81, 2 Bi 3.13
Te: 0.5557 0.4443 0.7500  2 Zn 2.81, 2 Bi 3.13
Te: 0.8759 0.1241 0.5564  1 Zn 2.69
Te: 0.8759 0.1241 0.9436  1 Zn 2.69

Results
**Total DFT energy (no corrections)**: -3.181 eV/atom
**Symmetry**: No. 63



Record 3
The following is a GGA-PBE calculation of a geometry-optimized PaAgPd structure, from OQMD.

abc: 4.6291 4.6291 4.6291
angles: 60.00 60.00 60.00
With the nearest neighbours (Å) after each atom.
Positions (direct):
Pa: 0.0000 0.0000 0.0000  4 Pd 2.83
Ag: 0.5000 0.5000 0.5000  4 Pd 2.83
Pd: 0.7500 0.7500 0.7500  4 Ag 2.83, 4 Pa 2.83

Results
**Formation energy**: 0.00 eV per formula unit
**Symmetry**: No. 216